Record 1
Compound: Ce2PuNp3P6
Source: Alexandria
Functional: PBE
Structure: relaxed

```
12
Lattice="-1.5008 -5.1905 -4.3548 5.6667 -0.3299 3.9921 -4.8666 -1.0961 4.8173" Properties=species:S:1:pos:R:3 pbc="T T T"
P 0.6925 -4.1470 4.6825
P -1.6748 -5.7524 1.9257
P -1.3932 -2.4695 -0.2279
P 0.9741 -0.8641 2.5290
P -2.5917 -2.1522 3.4788
P 1.8910 -4.4643 0.9758
Np -2.7309 -4.9226 -0.5449
Np -0.3504 -3.3082 2.2273
Np 2.0302 -1.6939 4.9995
Pu 0.0000 0.0000 0.0000
Ce 0.8911 -3.5684 -1.5693
Ce 3.2748 -1.9519 1.2067
```

Properties
- Energy: -110.55 eV per cell

=====

Record 2
Compound: SrLiHoPt
Source: Alexandria
Functional: PBE
Structure: relaxed

```
4
Lattice="-1.4884 -0.4703 -4.8788 2.0512 -3.6396 -2.9640 -2.8240 -4.0239 -1.4396" Properties=species:S:1:pos:R:3 pbc="T T T"
Li -1.6959 -6.1003 -6.9618
Ho -1.1306 -4.0669 -4.6412
Pt -0.5653 -2.0334 -2.3206
Sr 0.0000 0.0000 0.0000
```

Properties
- Energy: -16.04 eV per cell

=====

Record 3
Compound: TiCd2Pb2
Source: Alexandria
Functional: PBE
Structure: relaxed

```
10
Lattice="-4.3245 4.8264 -4.2067 1.7078 -4.0229 -6.3711 -3.4394 -2.5061 0.6605" Properties=species:S:1:pos:R:3 pbc="T T T"
Cd 0.0556 -0.8403 -2.8991
Cd -2.5085 2.5195 -3.5032
Cd -0.1082 -1.7160 -7.0746
Cd -2.6723 1.6439 -7.6787
Pb -2.8216 -0.3954 -2.1536
Pb -4.7303 1.4207 -5.2026
Pb -1.3258 -3.1232 -4.7148
Pb -3.2345 -1.3071 -7.7638
Ti 0.0000 0.0000 0.0000
Ti -1.3083 0.4018 -5.2889
```

Properties
- Distance to the lowest polymorph of the same formula: 0.02 eV per formula unit
- Energy: -31.05 eV per cell

=====

Record 4
Compound: Pm2Ga7Rh
Source: Alexandria
Functional: PBE
Structure: relaxed

```
10
Lattice="4.2300 0.0000 0.0000 0.0000 4.2300 0.0000 0.0000 0.0000 10.8224" Properties=species:S:1:pos:R:3 pbc="T T T"
Ga 2.1150 0.0000 3.8776
Ga 2.1150 2.1150 5.4112
Ga 2.1150 0.0000 1.3940
Ga 0.0000 2.1150 6.9448
Ga 0.0000 0.0000 0.0000
Ga 0.0000 2.1150 9.4284
Ga 0.0000 0.0000 5.4112
Rh 2.1150 2.1150 0.0000
Pm 2.1150 0.0000 8.1649
Pm 0.0000 2.1150 2.6575
```

Properties
- Energy: -43.49 eV per cell

=====

Record 5
Compound: MgSc2Nb
Source: Alexandria
Functional: PBE
Structure: relaxed

```
4
Lattice="-0.5764 2.4067 1.7584 -2.8895 -0.0117 -0.9312 -2.3012 -5.8220 7.2139" Properties=species:S:1:pos:R:3 pbc="T T T"
Nb -1.7329 1.1975 0.4136
Sc -1.7739 -4.4879 5.5608
Sc -0.5273 -1.3341 1.6531
Mg -2.8835 -1.7135 4.0206
```

Properties
- Distance to the lowest polymorph of the same formula: 0.02 eV per formula unit
- Energy: -24.21 eV per cell

=====

Record 6
Compound: La2TmNi
Source: Alexandria
Functional: PBE
Structure: relaxed

```
4
Lattice="3.7083 0.0000 0.0000 1.8541 3.2115 0.0000 1.8541 1.0705 10.4811" Properties=species:S:1:pos:R:3 pbc="T T T"
Ni 3.7083 2.1410 5.2406
La 1.8542 1.0705 7.0376
La 5.5624 3.2115 3.4435
Tm 0.0000 0.0000 0.0000
```

Properties
- Distance to the lowest polymorph of the same formula: 1.24 eV per formula unit
- Energy: -19.65 eV per cell

=====

Record 7
Compound: Be2B
Source: Alexandria
Functional: PBE
Structure: relaxed

```
24
Lattice="-7.8407 3.3837 -0.6592 -1.4125 -2.5621 3.6492 1.2442 3.4485 2.9028" Properties=species:S:1:pos:R:3 pbc="T T T"
B -3.7539 0.0342 1.5684
B -0.8728 0.3767 -0.0734
B -7.0521 3.4503 2.6902
B -5.4994 0.7875 1.4217
B -0.9569 0.8198 3.2026
B -2.4255 3.0395 1.1952
B -6.9680 3.0071 -0.5858
B -4.1710 3.7928 1.0484
Be -5.9193 2.7654 1.1351
Be -2.7052 -0.2076 3.2893
Be -2.0897 1.5048 4.7577
Be -3.9643 1.9238 1.3838
Be -1.3834 2.7858 2.9331
Be 0.5819 1.9355 3.0140
Be -0.7502 -1.0491 3.5380
Be -5.3038 4.4777 2.6035
Be -6.0101 3.1966 4.4282
Be -4.0447 2.3463 4.5091
Be -0.0956 0.7340 4.9056
Be -3.3098 3.7069 2.7514
Be -0.0726 0.1524 1.6464
Be -6.6256 1.4843 2.9598
Be -4.6993 0.5632 3.1415
Be -1.9990 1.0735 1.4647
```

Properties
- Distance to the lowest polymorph of the same formula: 0.00 eV per formula unit
- Energy: -113.57 eV per cell

=====

Record 8
Compound: NiI
Source: Alexandria
Functional: PBE
Structure: relaxed

```
8
Lattice="7.0004 0.0000 0.0000 0.0000 7.0004 0.0000 0.0000 0.0000 4.0924" Properties=species:S:1:pos:R:3 pbc="T T T"
Ni 0.8953 0.8953 2.0462
Ni 4.3955 2.6050 0.0000
Ni 2.6050 4.3955 0.0000
Ni 6.1052 6.1052 2.0462
I 1.5510 5.4495 2.0462
I 1.9492 1.9492 0.0000
I 5.0512 5.0512 0.0000
I 5.4495 1.5510 2.0462
```

Properties
- Energy: -28.52 eV per cell
- ΔE_f (raw): 0.1004 eV/atom

=====

Record 9
Compound: La3SnN
Source: Alexandria
Functional: PBE
Structure: relaxed

```
10
Lattice="-1.9954 3.0966 -2.3000 0.9308 -3.8182 -1.8480 -16.4240 -6.5998 5.3634" Properties=species:S:1:pos:R:3 pbc="T T T"
Sn -8.2120 -3.2999 2.6817
Sn 0.0000 0.0000 0.0000
N -12.3626 -6.4631 2.0239
N -5.1260 -0.8583 -0.8085
La -12.3180 -4.9498 4.0225
La -4.1060 -1.6499 1.3408
La -14.6790 -7.3939 2.7803
La -7.4424 -1.7891 -0.0520
La -2.8096 0.0725 -1.5649
La -10.0462 -5.5323 1.2674
```

Properties
- Energy: -60.86 eV per cell
- ΔE_f (raw): -0.6644 eV/atom

=====

Record 10
Compound: SmSb3Se6
Source: Alexandria
Functional: PBE
Structure: relaxed

```
20
Lattice="-3.3284 -2.2746 -0.3799 1.7520 -4.4683 11.4040 -6.9257 9.9038 1.3794" Properties=species:S:1:pos:R:3 pbc="T T T"
Se -5.5528 2.4568 1.5701
Se -2.9492 0.7041 10.8334
Se -5.4682 5.6169 3.4881
Se -6.2583 2.1024 9.8730
Se -6.0493 5.7494 7.7856
Se -6.0103 2.4313 5.7311
Se -2.4917 0.7296 6.6724
Se -2.4528 -2.5885 4.6179
Se -2.2437 1.0584 2.5305
Se -1.6463 -4.7681 10.6025
Se -3.0338 -2.4560 8.9154
Se -6.8558 7.9290 1.8010
Sb -4.0360 3.4389 3.9801
Sb -2.9281 -1.3843 1.5726
Sb -0.9543 -1.5107 6.6168
Sb -5.5739 4.5452 10.8309
Sb -7.5477 4.6716 5.7868
Sb -4.4661 -0.2781 8.4235
Sm -1.2936 -1.8057 11.3558
Sm -7.2084 4.9666 1.0477
```

Properties
- Energy: -89.46 eV per cell
- ΔE_f (raw): -0.6736 eV/atom

=====

Record 11
Compound: Tb4Pr3Nd
Source: Alexandria
Functional: PBE
Structure: relaxed

```
16
Lattice="6.3449 0.0000 0.0000 0.0000 7.3615 0.0000 0.0000 0.0000 11.7299" Properties=species:S:1:pos:R:3 pbc="T T T"
Tb 4.1099 0.8907 5.8650
Tb 6.2212 0.8928 2.9310
Tb 3.0488 6.4687 8.7960
Tb 6.2212 0.8928 8.7989
Tb 4.1153 0.8970 0.0000
Tb 3.0488 6.4687 2.9340
Tb 0.9428 6.4645 5.8650
Tb 0.9375 6.4707 0.0000
Pr 0.9244 2.7408 5.8650
Pr 4.0969 4.6207 0.0000
Pr 3.0626 2.7401 8.7920
Pr 3.0626 2.7401 2.9380
Pr 6.2350 4.6214 8.8029
Pr 6.2350 4.6214 2.9270
Nd 4.1042 4.6280 5.8650
Nd 0.9318 2.7335 0.0000
```

Properties
- Distance to the lowest polymorph of the same formula: 0.00 eV per formula unit
- Energy: -74.76 eV per cell

=====

Record 12
Compound: SrCa2PdO4
Source: Alexandria
Functional: PBE
Structure: relaxed

```
16
Lattice="3.4037 0.0000 0.0000 -1.7018 5.9632 0.0000 0.0000 0.0000 11.8712" Properties=species:S:1:pos:R:3 pbc="T T T"
O 1.7018 2.8077 10.4373
O 1.7018 0.3543 2.9678
O 0.0000 5.6089 8.9034
O 0.0000 0.0000 5.9356
O 1.7018 2.8077 7.3694
O 0.0000 3.1555 1.4339
O 0.0000 3.1555 4.5017
O 0.0000 0.0000 0.0000
Ca 1.7018 1.5183 0.4939
Ca 0.0000 4.4449 6.4295
Ca 0.0000 4.4449 11.3772
Ca 1.7018 1.5183 5.4417
Pd 1.7018 4.3442 8.9034
Pd 0.0000 1.6190 2.9678
Sr 0.0000 1.5334 8.9034
Sr 1.7018 4.4298 2.9678
```

Properties
- Energy: -94.22 eV per cell
- ΔE_f (raw): -2.0501 eV/atom